A plane-wave DFT calculation with PBE-GGA was carried out for a relaxed structure of TmTh2Tc.

Output
calculated formation energy: 0.07 eV per formula unit
crystal system: tetragonal
space group: P4/mmm (123)
ΔE to the lowest computed polymorph: 0.144 eV/atom

a b c (Å): 3.543 3.543 8.573
angles (deg): 90.00 90.00 90.00
Fractional coordinates of all 4 atoms:
Tm (0.000, 0.000, 0.000)
Th (0.500, 0.500, 0.292)
Th (0.500, 0.500, 0.708)
Tc (0.000, 0.000, 0.500)

***

A plane-wave DFT calculation with PBE-GGA was carried out for a relaxed structure of Tm2ThTc9.

Output
calculated formation energy: -1.05 eV per formula unit
crystal system: trigonal
space group: R-3m (166)

a b c (Å): 9.333 9.333 9.333
angles (deg): 33.21 33.21 33.21
Fractional coordinates of all 12 atoms:
Tm (0.143, 0.143, 0.143)
Tm (0.857, 0.857, 0.857)
Th (0.000, 0.000, 0.000)
Tc (0.074, 0.590, 0.590)
Tc (0.338, 0.338, 0.338)
Tc (0.410, 0.410, 0.926)
Tc (0.410, 0.926, 0.410)
Tc (0.500, 0.500, 0.500)
Tc (0.590, 0.074, 0.590)
Tc (0.590, 0.590, 0.074)
Tc (0.662, 0.662, 0.662)
Tc (0.926, 0.410, 0.410)

***

A plane-wave DFT calculation with PBE-GGA was carried out for a relaxed structure of TmTh2Tc.

Output
calculated formation energy: -0.51 eV per formula unit
crystal system: orthorhombic
space group: Pnma (62)
ΔE to the lowest computed polymorph: 0.000 eV/atom

a b c (Å): 7.296 9.728 6.251
angles (deg): 90.00 90.00 90.00
Fractional coordinates of all 16 atoms:
Tm (0.041, 0.250, 0.146)
Tm (0.459, 0.750, 0.646)
Tm (0.541, 0.250, 0.354)
Tm (0.959, 0.750, 0.854)
Th (0.171, 0.063, 0.669)
Th (0.171, 0.437, 0.669)
Th (0.329, 0.563, 0.169)
Th (0.329, 0.937, 0.169)
Th (0.671, 0.063, 0.831)
Th (0.671, 0.437, 0.831)
Th (0.829, 0.563, 0.331)
Th (0.829, 0.937, 0.331)
Tc (0.116, 0.750, 0.412)
Tc (0.384, 0.250, 0.912)
Tc (0.616, 0.750, 0.088)
Tc (0.884, 0.250, 0.588)

***

A plane-wave DFT calculation with PBE-GGA was carried out for a relaxed structure of TmThTc2.

Output
calculated formation energy: -0.14 eV per formula unit
crystal system: tetragonal
space group: P4/mmm (123)
ΔE to the lowest computed polymorph: 0.043 eV/atom

a b c (Å): 3.477 3.477 6.889
angles (deg): 90.00 90.00 90.00
Fractional coordinates of all 4 atoms:
Tm (0.000, 0.000, 0.000)
Th (0.000, 0.000, 0.500)
Tc (0.500, 0.500, 0.264)
Tc (0.500, 0.500, 0.736)

***

A plane-wave DFT calculation with PBE-GGA was carried out for a relaxed structure of TmThTc4.

Output
calculated formation energy: -0.66 eV per formula unit
crystal system: cubic
space group: F-43m (216)

a b c (Å): 5.445 5.445 5.445
angles (deg): 60.00 60.00 60.00
Fractional coordinates of all 6 atoms:
Tm (0.000, 0.000, 0.000)
Th (0.250, 0.250, 0.250)
Tc (0.124, 0.625, 0.625)
Tc (0.625, 0.124, 0.625)
Tc (0.625, 0.625, 0.124)
Tc (0.625, 0.625, 0.625)

***

A plane-wave DFT calculation with PBE-GGA was carried out for a relaxed structure of ThUTc2.

Output
calculated formation energy: -0.31 eV per formula unit
crystal system: tetragonal
space group: P4/mmm (123)
ΔE to the lowest computed polymorph: 0.068 eV/atom

a b c (Å): 3.351 3.351 7.376
angles (deg): 90.00 90.00 90.00
Fractional coordinates of all 4 atoms:
Th (0.000, 0.000, 0.000)
U (0.000, 0.000, 0.500)
Tc (0.500, 0.500, 0.304)
Tc (0.500, 0.500, 0.696)